# SrAg (PBE-GGA, optimized geometry)
data_SrAg
_chemical_formula_sum 'Sr4 Ag4'
_cell_length_a 6.551
_cell_length_b 6.551
_cell_length_c 6.551
_cell_angle_alpha 90.00
_cell_angle_beta 90.00
_cell_angle_gamma 90.00
_symmetry_space_group_name_H-M 'P 42/m n m'
_symmetry_Int_Tables_number 136
_symmetry_space_group_name_Hall '-P 4n 2n'
loop_
_atom_site_label
_atom_site_type_symbol
_atom_site_fract_x
_atom_site_fract_y
_atom_site_fract_z
_atom_site_occupancy
Sr1 Sr 0.238 0.238 0.000 1
Ag1 Ag 0.236 0.236 0.500 1
# Formation energy from the elements ... -15.5 kJ per mole of atoms
# Final energy ... -2.427 eV per atom

***

# SrAg2 (PBE-GGA, optimized geometry)
data_SrAg2
_chemical_formula_sum 'Sr4 Ag8'
_cell_length_a 7.394
_cell_length_b 7.394
_cell_length_c 7.394
_cell_angle_alpha 90.00
_cell_angle_beta 90.00
_cell_angle_gamma 90.00
_symmetry_space_group_name_H-M 'F m -3 m'
_symmetry_Int_Tables_number 225
_symmetry_space_group_name_Hall '-F 4 2 3'
loop_
_atom_site_label
_atom_site_type_symbol
_atom_site_fract_x
_atom_site_fract_y
_atom_site_fract_z
_atom_site_occupancy
Sr1 Sr 0.000 0.000 0.000 1
Ag1 Ag 0.250 0.250 0.250 1
# Formation energy from the elements ... 14.0 kJ per mole of atoms
# Final energy ... -2.317 eV per atom

***

# Sr3Ag (PBE-GGA, optimized geometry)
data_Sr3Ag
_chemical_formula_sum 'Sr12 Ag4'
_cell_length_a 8.501
_cell_length_b 10.898
_cell_length_c 7.396
_cell_angle_alpha 90.00
_cell_angle_beta 90.00
_cell_angle_gamma 90.00
_symmetry_space_group_name_H-M 'P n m a'
_symmetry_Int_Tables_number 62
_symmetry_space_group_name_Hall '-P 2ac 2n'
loop_
_atom_site_label
_atom_site_type_symbol
_atom_site_fract_x
_atom_site_fract_y
_atom_site_fract_z
_atom_site_occupancy
Sr1 Sr 0.038 0.250 0.147 1
Sr2 Sr 0.177 0.065 0.662 1
Ag1 Ag 0.121 0.750 0.446 1
# Formation energy from the elements ... -16.8 kJ per mole of atoms
# Final energy ... -2.149 eV per atom

***

# Sr2Ag3 (PBE-GGA, optimized geometry)
data_Sr2Ag3
_chemical_formula_sum 'Sr8 Ag12'
_cell_length_a 4.299
_cell_length_b 29.382
_cell_length_c 4.694
_cell_angle_alpha 90.00
_cell_angle_beta 90.00
_cell_angle_gamma 90.00
_symmetry_space_group_name_H-M 'C m c m'
_symmetry_Int_Tables_number 63
_symmetry_space_group_name_Hall '-C 2c 2'
loop_
_atom_site_label
_atom_site_type_symbol
_atom_site_fract_x
_atom_site_fract_y
_atom_site_fract_z
_atom_site_occupancy
Sr1 Sr 0.000 0.071 0.250 1
Sr2 Sr 0.000 0.204 0.750 1
Ag1 Ag 0.000 0.326 0.750 1
Ag2 Ag 0.000 0.382 0.250 1
Ag3 Ag 0.000 0.476 0.250 1
# Formation energy from the elements ... -27.8 kJ per mole of atoms
# Final energy ... -2.671 eV per atom